Computed, not measured: a relaxed structure of BH2Pd at the PBE level of DFT.

a = 5.3311 Å, b = 5.3311 Å, c = 5.3311 Å
α = 141.04°, β = 141.04°, γ = 56.27°
Closest atoms and distances in Å follow each position.
Fractional positions:
B: 0.0000 0.0000 0.0000  4 H 1.54
B: 0.7500 0.2500 0.5000  4 H 1.54
H: 0.3750 0.2484 0.3734  2 B 1.54
H: 0.7516 0.1250 0.1266  2 B 1.54
H: 0.8750 0.0016 0.6266  2 B 1.54
H: 0.9984 0.6250 0.8734  2 B 1.54
Pd: 0.2500 0.7500 0.5000  4 H 1.99
Pd: 0.5000 0.5000 0.0000  4 H 1.99

Summary:
ΔE to the lowest computed polymorph in meV per atom: 0

Computed, not measured: a relaxed structure of B2H6Pd at the PBE level of DFT.

a = 7.5547 Å, b = 7.5547 Å, c = 3.6494 Å
α = 91.65°, β = 91.65°, γ = 47.64°
Closest atoms and distances in Å follow each position.
Fractional positions:
B: 0.0245 0.2514 0.2418  3 H 1.19-1.33
B: 0.2514 0.0245 0.7418  3 H 1.19-1.33
B: 0.7486 0.9755 0.2582  3 H 1.19-1.33
B: 0.9755 0.7486 0.7582  3 H 1.19-1.33
H: 0.0680 0.1101 0.5081  2 B 1.33-1.35
H: 0.1101 0.0680 0.0081  2 B 1.33-1.35
H: 0.1126 0.3350 0.2592  1 B 1.19
H: 0.2017 0.5555 0.8198  1 B 1.32
H: 0.3350 0.1126 0.7592  1 B 1.19
H: 0.4445 0.7983 0.6802  1 B 1.32
H: 0.5555 0.2017 0.3198  1 B 1.32
H: 0.6650 0.8874 0.2408  1 B 1.19
H: 0.7983 0.4445 0.1802  1 B 1.32
H: 0.8874 0.6650 0.7408  1 B 1.19
H: 0.8899 0.9320 0.9919  2 B 1.33-1.35
H: 0.9320 0.8899 0.4919  2 B 1.33-1.35
Pd: 0.3168 0.6832 0.7500  2 H 1.71
Pd: 0.6832 0.3168 0.2500  2 H 1.71

Summary:
ΔE to the lowest computed polymorph in meV per atom: 0

Computed, not measured: a relaxed structure of B2H8Pd at the PBE level of DFT.

a = 5.2961 Å, b = 5.2961 Å, c = 3.7893 Å
α = 98.79°, β = 98.79°, γ = 92.44°
Closest atoms and distances in Å follow each position.
Fractional positions:
B: 0.2086 0.2086 0.1329  4 H 1.21-1.29
B: 0.7914 0.7914 0.8671  4 H 1.21-1.29
H: 0.0162 0.3006 0.2385  1 B 1.24
H: 0.2091 0.2091 0.7916  1 B 1.29
H: 0.3006 0.0162 0.2385  1 B 1.24
H: 0.3782 0.3782 0.2069  1 B 1.21
H: 0.6218 0.6218 0.7931  1 B 1.21
H: 0.6994 0.9838 0.7615  1 B 1.24
H: 0.7909 0.7909 0.2084  1 B 1.29
H: 0.9838 0.6994 0.7615  1 B 1.24
Pd: 0.0000 0.0000 0.5000  2 H 1.68

Summary:
E_tot in eV per atom: -4.03

Computed, not measured: a relaxed structure of BHPdPt4 at the PBE level of DFT.

a = 5.8017 Å, b = 5.8017 Å, c = 7.0900 Å
α = 110.22°, β = 110.22°, γ = 57.69°
Closest atoms and distances in Å follow each position.
Fractional positions:
B: 0.2487 0.2487 0.4975  1 Pd 2.12, 5 Pt 2.12-2.17
B: 0.7513 0.7513 0.5025  1 Pd 2.12, 5 Pt 2.12-2.17
H: 0.3983 0.3983 0.9735  2 Pt 1.71-1.79
H: 0.6017 0.6017 0.0265  2 Pt 1.71-1.79
Pd: 0.0627 0.0627 0.2220  1 B 2.12
Pd: 0.9373 0.9373 0.7780  1 B 2.12
Pt: 0.1004 0.6045 0.3676  2 B 2.16-2.17
Pt: 0.2370 0.2370 0.9974  1 H 1.71
Pt: 0.3955 0.8996 0.6324  2 B 2.16-2.17
Pt: 0.4457 0.4457 0.7563  2 H 1.79-1.95
Pt: 0.5543 0.5543 0.2437  2 H 1.79-1.95
Pt: 0.6045 0.1004 0.3676  2 B 2.16-2.17
Pt: 0.7630 0.7630 0.0026  1 H 1.71
Pt: 0.8996 0.3955 0.6324  2 B 2.16-2.17

Summary:
E_tot in eV per atom: -5.69

Computed, not measured: a relaxed structure of RbBH6Pd at the PBE level of DFT.

a = 4.3314 Å, b = 4.7442 Å, c = 5.9546 Å
α = 85.65°, β = 75.29°, γ = 88.76°
Closest atoms and distances in Å follow each position.
Fractional positions:
Rb: 0.0000 0.0000 0.0000  6 H 2.72-2.87
B: 0.6815 0.6471 0.6301  4 H 1.21-1.28
H: 0.1085 0.4724 0.2130  1 Pd 1.56
H: 0.5159 0.4309 0.6235  1 B 1.27
H: 0.5648 0.4341 0.1957  1 Pd 1.56
H: 0.5742 0.7322 0.8229  1 B 1.22
H: 0.7010 0.8378 0.4797  1 B 1.21
H: 0.9410 0.5326 0.6550  1 B 1.28
Pd: 0.2855 0.5039 0.4084  2 H 1.56

Summary:
E_tot in eV per atom: -3.80

Computed, not measured: a relaxed structure of BHPdRh2 at the PBE level of DFT.

a = 3.8494 Å, b = 3.8494 Å, c = 3.6985 Å
α = 90.00°, β = 90.00°, γ = 90.00°
Closest atoms and distances in Å follow each position.
Fractional positions:
B: 0.0000 0.0000 0.0000  8 Rh 2.67, 4 Pd 2.72
H: 0.5000 0.5000 0.5000  2 Pd 1.85, 4 Rh 1.92
Pd: 0.5000 0.5000 0.0000  2 H 1.85
Rh: 0.0000 0.5000 0.5000  2 H 1.92
Rh: 0.5000 0.0000 0.5000  2 H 1.92

Summary:
E_tot in eV per atom: -5.60